RbTlIn2Br4: optimized geometry, PBE.

Crystal system: monoclinic
Energy in eV/atom: -2.91
Spin magnetization in μB per cell: 0.0
Volume in Å³/f.u.: 312

abc: 4.806 8.285 8.303
angles: 70.55 90.00 90.00
Positions (direct):
Tl (0.000, 0.500, 0.500)
Rb (0.500, 0.500, 0.000)
Br (0.500, 0.754, 0.249)
In (0.000, 0.000, 0.000)
Br (0.000, 0.756, 0.747)
In (0.500, 0.000, 0.500)
Br (0.500, 0.246, 0.751)
Br (0.000, 0.244, 0.253)

=====

NaSm3Pa2N6: optimized geometry, PBE.

Crystal system: monoclinic
Energy in eV/atom: -8.42
Spin magnetization in μB per cell: 0.0
Volume in Å³/f.u.: 188

abc: 3.579 7.164 7.787
angles: 103.74 103.29 90.00
Positions (direct):
Pa (0.163, 0.324, 0.326)
N (0.327, 0.893, 0.655)
Na (0.500, 0.000, 0.000)
N (0.327, 0.428, 0.654)
N (0.673, 0.107, 0.345)
Pa (0.837, 0.676, 0.674)
Sm (0.161, 0.839, 0.323)
Sm (0.500, 0.500, 0.000)
N (0.673, 0.572, 0.346)
N (0.984, 0.723, 0.967)
Sm (0.839, 0.161, 0.677)
N (0.016, 0.277, 0.033)

=====

Dy12Tl5Pb3: optimized geometry, PBE.

ΔE_f in eV per atom: 0.13
Crystal system: cubic
Energy in eV/atom: -3.78
Spin magnetization in μB per cell: 0.0
Volume in Å³/f.u.: 719

abc: 15.518 15.518 15.518
angles: 109.47 109.47 109.47
Positions (direct):
Tl (0.125, 0.375, 0.250)
Tl (0.875, 0.250, 0.625)
Pb (0.375, 0.750, 0.625)
Dy (0.943, 0.366, 0.279)
Dy (0.443, 0.664, 0.078)
Dy (0.336, 0.779, 0.413)
Pb (0.250, 0.125, 0.375)
Dy (0.913, 0.836, 0.779)
Pb (0.625, 0.250, 0.375)
Dy (0.057, 0.634, 0.721)
Tl (0.750, 0.125, 0.875)
Dy (0.634, 0.578, 0.913)
Dy (0.943, 0.578, 0.164)
Dy (0.779, 0.443, 0.366)
Tl (0.625, 0.875, 0.250)
Tl (0.000, 0.000, 0.000)
Tl (0.625, 0.750, 0.875)
Pb (0.750, 0.375, 0.125)
Tl (0.500, 0.000, 0.500)
Dy (0.057, 0.422, 0.836)
Dy (0.221, 0.557, 0.634)
Tl (0.000, 0.000, 0.500)
Dy (0.279, 0.866, 0.943)
Dy (0.221, 0.664, 0.087)
Dy (0.078, 0.913, 0.134)
Tl (0.750, 0.625, 0.375)
Dy (0.578, 0.634, 0.413)
Dy (0.578, 0.943, 0.664)
Tl (0.000, 0.500, 0.500)
Dy (0.413, 0.134, 0.578)
Dy (0.087, 0.922, 0.366)
Dy (0.087, 0.164, 0.221)
Dy (0.557, 0.336, 0.922)
Dy (0.366, 0.943, 0.779)
Dy (0.866, 0.279, 0.443)
Pb (0.125, 0.250, 0.875)
Dy (0.134, 0.721, 0.557)
Dy (0.443, 0.779, 0.866)
Dy (0.913, 0.078, 0.634)
Tl (0.500, 0.500, 0.500)
Dy (0.664, 0.443, 0.578)
Pb (0.250, 0.625, 0.875)
Pb (0.875, 0.750, 0.125)
Dy (0.366, 0.422, 0.087)
Tl (0.500, 0.500, 0.000)
Tl (0.875, 0.625, 0.750)
Pb (0.625, 0.375, 0.750)
Dy (0.422, 0.057, 0.336)
Tl (0.250, 0.375, 0.625)
Dy (0.922, 0.087, 0.866)
Dy (0.664, 0.221, 0.587)
Dy (0.836, 0.913, 0.279)
Pb (0.125, 0.875, 0.750)
Dy (0.721, 0.587, 0.164)
Pb (0.875, 0.125, 0.250)
Dy (0.134, 0.413, 0.078)
Tl (0.500, 0.000, 0.000)
Tl (0.375, 0.125, 0.750)
Dy (0.557, 0.221, 0.134)
Dy (0.413, 0.279, 0.336)
Pb (0.750, 0.875, 0.625)
Dy (0.279, 0.413, 0.836)
Dy (0.634, 0.057, 0.221)
Tl (0.250, 0.875, 0.125)
Dy (0.836, 0.922, 0.057)
Dy (0.422, 0.366, 0.587)
Dy (0.779, 0.336, 0.913)
Pb (0.375, 0.625, 0.250)
Dy (0.866, 0.587, 0.922)
Dy (0.922, 0.836, 0.557)
Dy (0.164, 0.078, 0.943)
Tl (0.125, 0.750, 0.375)
Tl (0.000, 0.500, 0.000)
Dy (0.587, 0.721, 0.664)
Dy (0.336, 0.557, 0.422)
Dy (0.078, 0.164, 0.443)
Dy (0.721, 0.134, 0.057)
Tl (0.375, 0.250, 0.125)
Dy (0.587, 0.866, 0.422)
Dy (0.164, 0.087, 0.721)

=====

CePmEr: optimized geometry, PBE.

ΔE_f in eV per atom: 0.08
Crystal system: tetragonal
Energy in eV/atom: -5.01
Spin magnetization in μB per cell: 0.3
Energy relative to the lowest polymorph listed for this composition in meV per atom: 10
Volume in Å³/f.u.: 94

abc: 3.541 3.541 7.870
angles: 103.00 103.00 90.00
Site moments in Bohr magnetons follow the coordinates.
Positions (direct):
Er (0.327, 0.327, 0.654)  0.00
Pm (0.005, 0.005, 0.009)  -0.01
Ce (0.668, 0.668, 0.337)  0.28